The following is a PBE calculation of an optimized crystal structure of Ag2GeRh2, from Alexandria via LeMat-Bulk.

Unit cell a=6.198 b=6.198 c=4.464 alpha=90.00 beta=90.00 gamma=90.00
Space group P4/mbm (No. 127)
Asymmetric unit:
Ag (0.164, 0.336, 0.000) (multiplicity 4)
Ge (0.000, 0.000, 0.500) (multiplicity 2)
Rh (0.145, 0.645, 0.500) (multiplicity 4)

Properties
Mass density (g/cm3): 9.57
Energy of formation (meV per atom): -73
Uncorrected energy (eV per atom): -5.078